An optimized crystal structure of ZrNbCrRe. Source: the Alexandria database, functional PBE.

Structure (POSCAR):
```
ZrNbCrRe
1.0
0.000 3.217 3.217
3.217 0.000 3.217
3.217 3.217 0.000
Zr Nb Cr Re
1 1 1 1
Direct
0.000 0.000 0.000 Zr
0.500 0.500 0.500 Nb
0.250 0.250 0.250 Cr
0.750 0.750 0.750 Re
```

Output
Formation energy   -0.0568 eV/atom

---

An optimized crystal structure of Na3Ac2RuO6. Source: the Alexandria database, functional PBE.

Structure (POSCAR):
```
Na3Ac2RuO6
1.0
2.978 -5.454 0.000
2.978 5.454 0.000
-1.773 0.000 5.759
Na Ac Ru O
3 2 1 6
Direct
0.000 0.000 0.000 Na
0.370 0.630 0.000 Na
0.630 0.370 0.000 Na
0.165 0.835 0.500 Ac
0.835 0.165 0.500 Ac
0.500 0.500 0.500 Ru
0.157 0.443 0.285 O
0.252 0.252 0.721 O
0.443 0.157 0.285 O
0.557 0.843 0.715 O
0.748 0.748 0.279 O
0.843 0.557 0.715 O
```

Output
ΔE_f (raw)   -1963 meV/atom

---

An optimized crystal structure of SmDyPd4. Source: the Alexandria database, functional PBE.

Structure (POSCAR):
```
SmDyPd4
1.0
2.108 -9.804 0.000
2.108 9.804 0.000
0.000 0.000 5.796
Sm Dy Pd
2 2 8
Direct
0.223 0.777 0.750 Sm
0.777 0.223 0.250 Sm
0.076 0.924 0.250 Dy
0.924 0.076 0.750 Dy
0.073 0.927 0.750 Pd
0.354 0.646 0.009 Pd
0.354 0.646 0.491 Pd
0.500 0.500 0.000 Pd
0.500 0.500 0.500 Pd
0.646 0.354 0.509 Pd
0.646 0.354 0.991 Pd
0.927 0.073 0.250 Pd
```

Output
Formation energy   -0.8709 eV/atom
Polymorph energy (0 for the lowest one)   0.000 eV/atom

---

An optimized crystal structure of Cd2HgMoAs. Source: the Alexandria database, functional PBE.

Structure (POSCAR):
```
Cd2HgMoAs
1.0
5.189 0.000 0.000
0.000 5.189 0.000
0.000 0.000 5.350
Cd Hg Mo As
2 1 1 1
Direct
0.000 0.500 0.000 Cd
0.500 0.000 0.000 Cd
0.000 0.000 0.000 Hg
0.000 0.000 0.500 Mo
0.500 0.500 0.500 As
```

Output
Formation energy   1.2319 eV/atom

---

An optimized crystal structure of SrBe2Au8. Source: the Alexandria database, functional PBE.

Structure (POSCAR):
```
SrBe2Au8
1.0
5.515 0.000 0.000
0.000 5.515 0.000
0.000 0.000 8.279
Sr Be Au
1 2 8
Direct
0.000 0.000 0.000 Sr
0.000 0.500 0.500 Be
0.500 0.000 0.500 Be
0.251 0.251 0.317 Au
0.251 0.251 0.683 Au
0.251 0.749 0.317 Au
0.251 0.749 0.683 Au
0.749 0.251 0.317 Au
0.749 0.251 0.683 Au
0.749 0.749 0.317 Au
0.749 0.749 0.683 Au
```

Output
Formation energy   -0.1596 eV/atom

---

An optimized crystal structure of ThTlFe4. Source: the Alexandria database, functional PBE.

Structure (POSCAR):
```
ThTlFe4
1.0
0.000 3.673 3.673
3.673 0.000 3.673
3.673 3.673 0.000
Th Tl Fe
1 1 4
Direct
0.000 0.000 0.000 Th
0.250 0.250 0.250 Tl
0.120 0.627 0.627 Fe
0.627 0.120 0.627 Fe
0.627 0.627 0.120 Fe
0.627 0.627 0.627 Fe
```

Output
Formation energy   0.1094 eV/atom

---

An optimized crystal structure of K2MnHg. Source: the Alexandria database, functional PBE.

Structure (POSCAR):
```
K2MnHg
1.0
0.000 4.018 4.018
4.018 0.000 4.018
4.018 4.018 0.000
K Mn Hg
2 1 1
Direct
0.000 0.000 0.000 K
0.250 0.250 0.250 K
0.500 0.500 0.500 Mn
0.750 0.750 0.750 Hg
```

Output
Formation energy   0.4764 eV/atom

---

An optimized crystal structure of YW. Source: the Alexandria database, functional PBE.

Structure (POSCAR):
```
YW
1.0
11.558 0.000 0.000
0.000 11.558 0.000
0.000 0.000 3.410
Y W
8 8
Direct
0.000 0.349 0.000 Y
0.000 0.651 0.000 Y
0.276 0.276 0.500 Y
0.276 0.724 0.500 Y
0.349 0.000 0.000 Y
0.651 0.000 0.000 Y
0.724 0.276 0.500 Y
0.724 0.724 0.500 Y
0.164 0.500 0.500 W
0.334 0.500 0.000 W
0.500 0.164 0.500 W
0.500 0.334 0.000 W
0.500 0.666 0.000 W
0.500 0.836 0.500 W
0.666 0.500 0.000 W
0.836 0.500 0.500 W
```

Output
Formation energy   0.5788 eV/atom
Polymorph energy (0 for the lowest one)   0.331 eV/atom